Entry 1:
# ThSeN | the Alexandria database | PBE-GGA | relaxed
# density of states at the Fermi level	3.143	states/eV/f.u.
# energy above the lowest structure with this stoichiometry	1.01	eV per formula unit
# E_form (uncorrected)	-1222	meV per atom
data_ThSeN
_symmetry_space_group_name_H-M 'P -6 m 2'
_symmetry_Int_Tables_number 187
_symmetry_space_group_name_Hall 'P -6 2'
_cell_length_a 4.0171
_cell_length_b 4.0171
_cell_length_c 4.4556
_cell_angle_alpha 90.00
_cell_angle_beta 90.00
_cell_angle_gamma 120.00
loop_
_atom_site_label
_atom_site_type_symbol
_atom_site_fract_x
_atom_site_fract_y
_atom_site_fract_z
Th1 Th 0.0000 0.0000 0.0000
Se1 Se 0.6667 0.3333 0.5000
N1 N 0.3333 0.6667 0.0000


Entry 2:
# ThSeN | the Alexandria database | PBE-GGA | relaxed
# density of states at the Fermi level	3.208	states/eV/f.u.
# energy above the lowest structure with this stoichiometry	0.84	eV per formula unit
# E_form (uncorrected)	-1277	meV per atom
data_ThSeN
_symmetry_space_group_name_H-M 'R -3 m'
_symmetry_Int_Tables_number 166
_symmetry_space_group_name_Hall '-R 3 2"'
_cell_length_a 4.0692
_cell_length_b 4.0692
_cell_length_c 27.7428
_cell_angle_alpha 90.00
_cell_angle_beta 90.00
_cell_angle_gamma 120.00
loop_
_atom_site_label
_atom_site_type_symbol
_atom_site_fract_x
_atom_site_fract_y
_atom_site_fract_z
Th1 Th 0.0000 0.0000 0.1136
Se1 Se 0.0000 0.0000 0.3739
N1 N 0.0000 0.0000 0.1988